{
  "formula": "BeFe2Ir",
  "functional": "PBE",
  "state": "relaxed",
  "cell": [[2.884, 0.000, 0.000], [0.000, 2.884, 0.000], [0.000, 0.000, 5.579]],
  "species": ["Be", "Fe", "Fe", "Ir"],
  "frac_coords": [[0.000, 0.000, 0.000], [0.000, 0.000, 0.481], [0.500, 0.500, 0.237], [0.500, 0.500, 0.775]],
  "density_kg_m3": 11194,
  "m_tot_mub_per_fu": 5.60,
  "spacegroup": "P4mm",
  "formation_enthalpy_0k_ev_per_atom": -0.17
}